Below is ScTa after structural relaxation, with properties calculated at the PBE level.

Structure (POSCAR):
```
ScTa
1.0
1.4866 5.8074 -0.0045
-1.4866 5.8074 -0.0045
0.0000 1.5972 7.1029
Ta Sc
3 3
Cartesian
0.0000 4.4863 2.2248 Ta
0.0000 4.7683 6.7975 Ta
0.0000 11.7634 4.4475 Ta
0.0000 7.5493 2.0708 Sc
0.0000 8.8655 4.6345 Sc
0.0000 1.5983 7.0268 Sc
```

**Fermi-level density of states**: 7.8 states/eV/cell
**E_form**: 191 meV/atom
**Offset from the most stable computed form**: 8.1 kJ/mol of atoms
**V**: 20.44 A^3/atom

=====

Below is ScTa after structural relaxation, with properties calculated at the PBE level.

Structure (POSCAR):
```
ScTa
1.0
2.8981 0.0000 0.0000
0.0000 4.6430 0.0000
0.0000 0.0000 6.0863
Ta Sc
2 2
Cartesian
1.4490 2.3215 1.6048 Ta
0.0000 0.0000 2.9600 Ta
0.0000 0.0000 0.0743 Sc
1.4490 2.3215 4.4904 Sc
```

**Fermi-level density of states**: 5.4 states/eV/cell
**E_form**: 230 meV/atom
**Offset from the most stable computed form**: 11.9 kJ/mol of atoms
**V**: 20.47 A^3/atom

=====

Below is ScTa3 after structural relaxation, with properties calculated at the PBE level.

Structure (POSCAR):
```
ScTa3
1.0
-1.4155 2.3762 0.5853
-3.1781 -1.8291 4.2919
4.3334 3.3938 1.2532
Ta Sc
3 1
Cartesian
-2.2968 0.2735 2.4386 Ta
1.4589 2.8850 0.9193 Ta
0.5776 0.7823 2.7725 Ta
0.0000 0.0000 0.0000 Sc
```

**Fermi-level density of states**: 5.9 states/eV/cell
**E_form**: 164 meV/atom
**Offset from the most stable computed form**: 4.2 kJ/mol of atoms
**V**: 18.96 A^3/atom

=====

Below is Sc4Ta5 after structural relaxation, with properties calculated at the PBE level.

Structure (POSCAR):
```
Sc4Ta5
1.0
-4.8532 4.8532 1.9298
4.8532 -4.8532 1.9298
4.8532 4.8532 -1.9298
Ta Sc
5 4
Cartesian
3.2479 3.2479 0.0000 Ta
-1.6053 1.6053 1.9298 Ta
1.6053 1.6053 1.9298 Ta
0.0000 0.0000 0.0000 Ta
1.6053 -1.6053 1.9298 Ta
6.5977 0.0000 0.0000 Sc
0.0000 3.1087 0.0000 Sc
0.0000 6.5977 0.0000 Sc
3.1087 0.0000 0.0000 Sc
```

**Fermi-level density of states**: 12.9 states/eV/cell
**E_form**: 229 meV/atom
**V**: 20.20 A^3/atom

=====

Among the records above, which one has the lowest Fermi-level density of states?
number 2

=====

What is the E_form in the third record?
164 meV/atom

=====

Copy entry 4 word for word.
Below is Sc4Ta5 after structural relaxation, with properties calculated at the PBE level.

Structure (POSCAR):
```
Sc4Ta5
1.0
-4.8532 4.8532 1.9298
4.8532 -4.8532 1.9298
4.8532 4.8532 -1.9298
Ta Sc
5 4
Cartesian
3.2479 3.2479 0.0000 Ta
-1.6053 1.6053 1.9298 Ta
1.6053 1.6053 1.9298 Ta
0.0000 0.0000 0.0000 Ta
1.6053 -1.6053 1.9298 Ta
6.5977 0.0000 0.0000 Sc
0.0000 3.1087 0.0000 Sc
0.0000 6.5977 0.0000 Sc
3.1087 0.0000 0.0000 Sc
```

**Fermi-level density of states**: 12.9 states/eV/cell
**E_form**: 229 meV/atom
**V**: 20.20 A^3/atom